1.
A plane-wave DFT calculation with GGA-PBE was carried out for crystalline BaTlP2 at its relaxed geometry.

Summary:
**Energy above the lowest structure with this stoichiometry**: 561 meV per atom
**Fermi-level density of states**: 2.8 states/eV/f.u.

a = 7.519 Å, b = 7.519 Å, c = 7.519 Å
α = 90.00°, β = 90.00°, γ = 90.00°
Space group F-43m (No. 216)
Inequivalent atoms, fractional coordinates:
Ba (0.000, 0.000, 0.000)
Tl (0.250, 0.250, 0.250)
P (0.000, 0.000, 0.500)
P (0.250, 0.250, 0.750)

2.
A plane-wave DFT calculation with GGA-PBE was carried out for crystalline BaTlP2 at its relaxed geometry.

Summary:
**Energy above the lowest structure with this stoichiometry**: 54 meV per atom
**Fermi-level density of states**: 1.0 states/eV/f.u.

a = 4.307 Å, b = 4.551 Å, c = 11.933 Å
α = 90.00°, β = 90.00°, γ = 90.00°
Space group Imm2 (No. 44)
Inequivalent atoms, fractional coordinates:
Ba (0.000, 0.000, 0.000)
Tl (0.000, 0.500, 0.763)
P (0.000, 0.000, 0.599)
P (0.000, 0.500, 0.189)

3.
A plane-wave DFT calculation with GGA-PBE was carried out for crystalline Ba3TlP3 at its relaxed geometry.

a = 20.156 Å, b = 7.049 Å, c = 13.259 Å
α = 90.00°, β = 90.00°, γ = 90.00°
Space group Cmce (No. 64)
Inequivalent atoms, fractional coordinates:
Ba (0.000, 0.170, 0.148)
Ba (0.177, 0.179, 0.869)
Tl (0.089, 0.000, 0.500)
P (0.000, 0.215, 0.396)
P (0.161, 0.219, 0.623)

4.
A plane-wave DFT calculation with GGA-PBE was carried out for crystalline BaTl2P2 at its relaxed geometry.

Summary:
**Energy above the lowest structure with this stoichiometry**: 113 meV per atom
**Fermi-level density of states**: 0.5 states/eV/f.u.

a = 8.036 Å, b = 8.036 Å, c = 4.654 Å
α = 90.00°, β = 90.00°, γ = 90.00°
Space group P4/mbm (No. 127)
Inequivalent atoms, fractional coordinates:
Ba (0.000, 0.000, 0.000)
Tl (0.156, 0.344, 0.500)
P (0.096, 0.596, 0.000)

Computed calculated formation energy, in the same sequence as the records: 143; -364; -763; -266 meV per atom.